VASP calculation (PBE-GGA) on a relaxed Ti3SnRh2 crystal. Values from VASP.

Results
Fermi-level density of states (states/eV/atom): 0.856
E_form (meV per atom): -487
Volume (Å³/cell): 203
Symmetry: Pmc2_1, No. 26
Electronic total energy (eV/cell): -90.63

Cell and atoms, written as Quantum ESPRESSO input:
```
&SYSTEM
  ibrav = 0, nat = 12, ntyp = 3
/
ATOMIC_SPECIES
Ti 47.87 Ti.upf
Sn 118.71 Sn.upf
Rh 102.91 Rh.upf
ATOMIC_POSITIONS angstrom
Ti 0.000 0.622 0.000
Ti 0.000 2.597 4.603
Ti 0.000 5.382 0.566
Ti 0.000 7.356 4.038
Ti 1.572 1.419 2.678
Ti 1.572 6.560 6.716
Sn 1.572 3.310 7.139
Sn 1.572 4.668 3.101
Rh 0.000 2.899 1.410
Rh 0.000 5.079 5.447
Rh 1.572 0.840 5.691
Rh 1.572 7.138 1.653
CELL_PARAMETERS angstrom
3.143 0.000 0.000
0.000 7.979 0.000
0.000 0.000 8.075
```

---

VASP calculation (PBE-GGA) on a relaxed LaEuMgGe crystal. Values from VASP.

Results
Fermi-level density of states (states/eV/atom): 0.690
E_form (meV per atom): -374
Volume (Å³/cell): 111
Symmetry: F-43m, No. 216
Electronic total energy (eV/cell): -22.91

Cell and atoms, written as Quantum ESPRESSO input:
```
&SYSTEM
  ibrav = 0, nat = 4, ntyp = 4
/
ATOMIC_SPECIES
La 138.91 La.upf
Eu 151.96 Eu.upf
Mg 24.30 Mg.upf
Ge 72.64 Ge.upf
ATOMIC_POSITIONS angstrom
La 0.000 0.000 0.000
Eu 3.812 3.812 3.812
Mg 5.719 5.719 5.719
Ge 1.906 1.906 1.906
CELL_PARAMETERS angstrom
0.000 3.812 3.812
3.812 0.000 3.812
3.812 3.812 0.000
```

---

VASP calculation (PBE-GGA) on a relaxed Pr2BeCoPt6 crystal. Values from VASP.

Results
Fermi-level density of states (states/eV/atom): 0.800
E_form (meV per atom): -498
Volume (Å³/cell): 189
Symmetry: Fm-3m, No. 225
Electronic total energy (eV/cell): -61.62

Cell and atoms, written as Quantum ESPRESSO input:
```
&SYSTEM
  ibrav = 0, nat = 10, ntyp = 4
/
ATOMIC_SPECIES
Pr 140.91 Pr.upf
Be 9.01 Be.upf
Co 58.93 Co.upf
Pt 195.08 Pt.upf
ATOMIC_POSITIONS angstrom
Pr 2.276 2.276 2.276
Pr 6.829 6.829 6.829
Be 0.000 0.000 0.000
Co 4.553 4.553 4.553
Pt 4.553 4.553 2.150
Pt 4.553 2.150 4.553
Pt 6.956 4.553 4.553
Pt 2.150 4.553 4.553
Pt 4.553 6.956 4.553
Pt 4.553 4.553 6.956
CELL_PARAMETERS angstrom
0.000 4.553 4.553
4.553 0.000 4.553
4.553 4.553 0.000
```

---

VASP calculation (PBE-GGA) on a relaxed PuGaTe2 crystal. Values from VASP.

Results
Fermi-level density of states (states/eV/atom): 2.479
Formation energy (no corrections) (eV per atom): -0.558
Volume (Å³/cell): 107
Symmetry: P4/mmm, No. 123
Electronic total energy (eV/cell): -25.87

Cell and atoms, written as Quantum ESPRESSO input:
```
&SYSTEM
  ibrav = 0, nat = 4, ntyp = 3
/
ATOMIC_SPECIES
Pu 244.00 Pu.upf
Ga 69.72 Ga.upf
Te 127.60 Te.upf
ATOMIC_POSITIONS angstrom
Pu 0.000 0.000 0.000
Ga 2.594 2.594 0.000
Te 0.000 2.594 1.984
Te 2.594 0.000 1.984
CELL_PARAMETERS angstrom
5.189 0.000 0.000
0.000 5.189 0.000
0.000 0.000 3.968
```